DFT (PBE-GGA) results for a relaxed Hg3SbPb2 crystal.

Properties
**Raw total energy**: -2.016 eV/atom
**Density of states at the Fermi level**: 0.368 states/eV/atom

a = 8.593 Å, b = 8.593 Å, c = 9.386 Å
α = 122.10°, β = 122.10°, γ = 36.64°
Fractional coordinates of all 12 atoms:
Hg 0.056 0.056 0.406
Hg 0.290 0.290 0.637
Hg 0.370 0.370 0.393
Hg 0.630 0.630 0.607
Hg 0.710 0.710 0.363
Hg 0.944 0.944 0.594
Sb 0.109 0.109 0.127
Sb 0.891 0.891 0.873
Pb 0.187 0.187 0.876
Pb 0.448 0.448 0.126
Pb 0.552 0.552 0.874
Pb 0.813 0.813 0.124